Entry 1:
DFT (PBE) results for an optimized crystal structure of La5Ge2Cl.

Summary:
For the uncorrected formation energy, the calculation gives -735 meV/atom. For the magnetization, the calculation gives 0.0 μB per formula unit. Its mass density is 6.15 g cm⁻³.

Unit cell a=9.135 b=9.135 c=9.135 alpha=126.87 beta=126.87 gamma=78.46
Fractional positions:
La: 0.000 0.000 0.000
La: 0.009 0.509 0.799
La: 0.210 0.009 0.500
La: 0.290 0.790 0.799
La: 0.491 0.290 0.500
La: 0.500 0.500 0.000
La: 0.509 0.710 0.500
La: 0.710 0.210 0.201
La: 0.790 0.991 0.500
La: 0.991 0.491 0.201
Ge: 0.150 0.350 0.500
Ge: 0.350 0.850 0.200
Ge: 0.650 0.150 0.800
Ge: 0.850 0.650 0.500
Cl: 0.250 0.250 0.000
Cl: 0.750 0.750 0.000

Entry 2:
DFT (PBE) results for an optimized crystal structure of La2Ge2Cl.

Summary:
For the uncorrected formation energy, the calculation gives -1173 meV/atom. For the magnetization, the calculation gives 0.0 μB per formula unit. Its mass density is 5.49 g cm⁻³.

Unit cell a=8.107 b=8.107 c=4.217 alpha=90.00 beta=90.00 gamma=90.00
Fractional positions:
La: 0.185 0.315 0.000
La: 0.315 0.815 0.000
La: 0.685 0.185 0.000
La: 0.815 0.685 0.000
Ge: 0.107 0.607 0.500
Ge: 0.393 0.107 0.500
Ge: 0.607 0.893 0.500
Ge: 0.893 0.393 0.500
Cl: 0.000 0.000 0.000
Cl: 0.500 0.500 0.000

Entry 3:
DFT (PBE) results for an optimized crystal structure of La4GeCl2.

Summary:
For the uncorrected formation energy, the calculation gives -847 meV/atom. For the magnetization, the calculation gives 0.0 μB per formula unit. Its mass density is 4.76 g cm⁻³.

Unit cell a=8.325 b=8.325 c=8.325 alpha=139.20 beta=139.20 gamma=59.07
Fractional positions:
La: 0.000 0.500 0.500
La: 0.208 0.208 0.000
La: 0.500 0.000 0.500
La: 0.792 0.792 0.000
Ge: 0.000 0.000 0.000
Cl: 0.401 0.401 0.000
Cl: 0.599 0.599 0.000

Entry 4:
DFT (PBE) results for an optimized crystal structure of La4GeCl4.

Summary:
For the uncorrected formation energy, the calculation gives -1680 meV/atom. For the magnetization, the calculation gives 0.0 μB per formula unit. Its mass density is 4.80 g cm⁻³.

Unit cell a=7.184 b=7.184 c=10.700 alpha=119.52 beta=119.52 gamma=34.29
Fractional positions:
La: 0.104 0.104 0.413
La: 0.300 0.300 0.212
La: 0.700 0.700 0.788
La: 0.896 0.896 0.587
Ge: 0.500 0.500 0.500
Cl: 0.105 0.105 0.892
Cl: 0.318 0.318 0.724
Cl: 0.682 0.682 0.276
Cl: 0.895 0.895 0.108

Entry 5:
DFT (PBE) results for an optimized crystal structure of LaGeCl3.

Summary:
For the uncorrected formation energy, the calculation gives -1160 meV/atom. For the magnetization, the calculation gives 2.0 μB per formula unit. Its mass density is 3.00 g cm⁻³.

Unit cell a=5.602 b=5.602 c=5.602 alpha=90.00 beta=90.00 gamma=90.00
Fractional positions:
La: 0.000 0.000 0.000
Ge: 0.500 0.500 0.500
Cl: 0.000 0.000 0.500
Cl: 0.000 0.500 0.000
Cl: 0.500 0.000 0.000

Entry 6:
DFT (PBE) results for an optimized crystal structure of LaGeCl.

Summary:
For the uncorrected formation energy, the calculation gives -1460 meV/atom. For the magnetization, the calculation gives 0.0 μB per formula unit. Its mass density is 4.73 g cm⁻³.

Unit cell a=4.378 b=4.378 c=10.851 alpha=101.66 beta=101.66 gamma=59.08
Fractional positions:
La: 0.068 0.068 0.196
La: 0.932 0.932 0.804
Ge: 0.340 0.340 0.015
Ge: 0.660 0.660 0.985
Cl: 0.212 0.212 0.651
Cl: 0.788 0.788 0.349

Entry 7:
DFT (PBE) results for an optimized crystal structure of LaGeCl2.

Summary:
For the uncorrected formation energy, the calculation gives -923 meV/atom. For the magnetization, the calculation gives 0.0 μB per formula unit. Its mass density is 4.85 g cm⁻³. The offset from the most stable computed form is 172 meV per atom.

Unit cell a=5.153 b=5.153 c=5.153 alpha=60.00 beta=60.00 gamma=60.00
Fractional positions:
La: 0.000 0.000 0.000
Ge: 0.500 0.500 0.500
Cl: 0.250 0.250 0.250
Cl: 0.750 0.750 0.750

Entry 8:
DFT (PBE) results for an optimized crystal structure of La2GeCl.

Summary:
For the uncorrected formation energy, the calculation gives -870 meV/atom. For the magnetization, the calculation gives 0.8 μB per formula unit. Its mass density is 4.28 g cm⁻³. The offset from the most stable computed form is 486 meV per atom.

Unit cell a=8.548 b=8.548 c=8.548 alpha=135.76 beta=135.76 gamma=64.35
Fractional positions:
La: 0.119 0.625 0.994
La: 0.375 0.369 0.494
La: 0.631 0.125 0.006
La: 0.875 0.881 0.506
Ge: 0.000 0.000 0.000
Ge: 0.750 0.250 0.500
Cl: 0.250 0.750 0.500
Cl: 0.500 0.500 0.000

What is the mass density in the fourth record? 4.80 g cm⁻³

The highest magnetization belongs to which entry? LaGeCl3

What did the fourth record say?
DFT (PBE) results for an optimized crystal structure of La4GeCl4.

Summary:
For the uncorrected formation energy, the calculation gives -1680 meV/atom. For the magnetization, the calculation gives 0.0 μB per formula unit. Its mass density is 4.80 g cm⁻³.

Unit cell a=7.184 b=7.184 c=10.700 alpha=119.52 beta=119.52 gamma=34.29
Fractional positions:
La: 0.104 0.104 0.413
La: 0.300 0.300 0.212
La: 0.700 0.700 0.788
La: 0.896 0.896 0.587
Ge: 0.500 0.500 0.500
Cl: 0.105 0.105 0.892
Cl: 0.318 0.318 0.724
Cl: 0.682 0.682 0.276
Cl: 0.895 0.895 0.108

magnetization of number 6 (LaGeCl)? 0.0 μB per formula unit